The following is a PBE calculation of a geometry-optimized Ac2In3GaPd4 structure, from Alexandria.

Properties
energy of formation from the pure elements: -676 meV per atom

a = 4.778 Å, b = 4.778 Å, c = 10.301 Å
α = 90.00°, β = 90.00°, γ = 90.00°
Space group P-4m2 (No. 115)
Symmetry-distinct sites (fractional):
Ac  0.000  0.500  0.245
In  0.000  0.500  0.877
In  0.500  0.500  0.500
Ga  0.000  0.000  0.500
Pd  0.000  0.000  0.000
Pd  0.000  0.500  0.618
Pd  0.500  0.500  0.000


The following is a PBE calculation of a geometry-optimized Y2ErPuAs4 structure, from Alexandria.

Properties
energy of formation from the pure elements: -1404 meV per atom

a = 7.119 Å, b = 4.124 Å, c = 7.121 Å
α = 90.00°, β = 109.46°, γ = 90.00°
Space group P2/m (No. 10)
Symmetry-distinct sites (fractional):
Y  0.000  0.000  0.000
Y  0.500  0.500  0.000
Er  0.000  0.500  0.500
Pu  0.500  0.000  0.500
As  0.249  0.000  0.747
As  0.251  0.500  0.253


The following is a PBE calculation of a geometry-optimized ScWS2 structure, from Alexandria.

Properties
formation energy from raw total energies: -0.428 eV/atom
excess energy over the best structure of this formula in the dataset: 138 meV/atom

a = 3.2509 Å, b = 3.2509 Å, c = 24.9233 Å
α = 90.00°, β = 90.00°, γ = 120.00°
Space group R-3m (No. 166, hexagonal axes)
Symmetry-distinct sites (fractional):
Sc  0.0000  0.0000  0.0000
W  0.0000  0.0000  0.5000
S  0.0000  0.0000  0.1030


The following is a PBE calculation of a geometry-optimized LaSi4Au12 structure, from Alexandria.

Properties
formation energy from raw total energies: -0.098 eV/atom

a = 8.868 Å, b = 8.868 Å, c = 8.868 Å
α = 90.00°, β = 90.00°, γ = 90.00°
Space group Im-3 (No. 204)
Symmetry-distinct sites (fractional):
La  0.000  0.000  0.000
Si  0.250  0.250  0.250
Au  0.000  0.340  0.162


The following is a PBE calculation of a geometry-optimized SbOs2RuF structure, from Alexandria.

Properties
formation energy from raw total energies: 1.624 eV/atom

a = 4.710 Å, b = 4.710 Å, c = 5.062 Å
α = 90.00°, β = 90.00°, γ = 90.00°
Space group P4/mmm (No. 123)
Symmetry-distinct sites (fractional):
Sb  0.000  0.000  0.000
Os  0.000  0.500  0.500
Ru  0.000  0.000  0.500
F  0.500  0.500  0.000


The following is a PBE calculation of a geometry-optimized AlGaAg2F structure, from Alexandria.

Properties
formation energy from raw total energies: 0.147 eV/atom

a = 4.895 Å, b = 4.895 Å, c = 5.131 Å
α = 90.00°, β = 90.00°, γ = 90.00°
Space group P4/mmm (No. 123)
Symmetry-distinct sites (fractional):
Al  0.000  0.000  0.000
Ga  0.000  0.000  0.500
Ag  0.000  0.500  0.000
F  0.500  0.500  0.500


The following is a PBE calculation of a geometry-optimized Ca2In5Ag structure, from Alexandria.

Properties
energy of formation from the pure elements: -287 meV per atom

a = 6.562 Å, b = 6.562 Å, c = 9.406 Å
α = 90.00°, β = 90.00°, γ = 90.00°
Space group I4mm (No. 107)
Symmetry-distinct sites (fractional):
Ca  0.000  0.500  0.000
In  0.000  0.000  0.001
In  0.250  0.250  0.250
Ag  0.000  0.000  0.499


The following is a PBE calculation of a geometry-optimized Sc2ReC structure, from Alexandria.

Properties
energy of formation from the pure elements: 232 meV per atom

a = 3.0892 Å, b = 3.0892 Å, c = 23.8344 Å
α = 90.00°, β = 90.00°, γ = 120.00°
Space group R-3m (No. 166, hexagonal axes)
Symmetry-distinct sites (fractional):
Sc  0.0000  0.0000  0.1127
Re  0.0000  0.0000  0.0000
C  0.0000  0.0000  0.5000


The following is a PBE calculation of a geometry-optimized BiSb3Ru structure, from Alexandria.

Properties
formation energy from raw total energies: 0.341 eV/atom
excess energy over the best structure of this formula in the dataset: 0 meV/atom

a = 5.176 Å, b = 5.176 Å, c = 5.176 Å
α = 90.00°, β = 90.00°, γ = 90.00°
Space group Pm-3m (No. 221)
Symmetry-distinct sites (fractional):
Bi  0.000  0.000  0.000
Sb  0.000  0.500  0.500
Ru  0.500  0.500  0.500


The following is a PBE calculation of a geometry-optimized Dy4Ho2Tm structure, from Alexandria.

Properties
excess energy over the best structure of this formula in the dataset: 135 meV/atom
energy of formation from the pure elements: 140 meV per atom

a = 6.085 Å, b = 6.491 Å, c = 11.408 Å
α = 90.00°, β = 104.77°, γ = 90.00°
Space group P2_1/m (No. 11)
Symmetry-distinct sites (fractional):
Dy  0.032  0.250  0.362
Dy  0.149  0.250  0.946
Dy  0.346  0.506  0.212
Ho  0.287  0.750  0.924
Ho  0.393  0.750  0.505
Tm  0.155  0.250  0.662


The following is a PBE calculation of a geometry-optimized TbCePr2Se4 structure, from Alexandria.

Properties
formation energy from raw total energies: -1.825 eV/atom

a = 7.304 Å, b = 4.175 Å, c = 7.309 Å
α = 90.00°, β = 109.04°, γ = 90.00°
Space group P2/m (No. 10)
Symmetry-distinct sites (fractional):
Tb  0.000  0.000  0.000
Ce  0.500  0.500  0.000
Pr  0.000  0.500  0.500
Pr  0.500  0.000  0.500
Se  0.242  0.500  0.238
Se  0.249  0.000  0.759


The following is a PBE calculation of a geometry-optimized YEr5Zn6 structure, from Alexandria.

Properties
energy of formation from the pure elements: -350 meV per atom

a = 5.007 Å, b = 15.038 Å, c = 7.102 Å
α = 90.00°, β = 90.00°, γ = 90.00°
Space group Cmmm (No. 65)
Symmetry-distinct sites (fractional):
Y  0.000  0.000  0.000
Er  0.000  0.000  0.500
Er  0.000  0.333  0.000
Er  0.000  0.334  0.500
Zn  0.000  0.168  0.252
Zn  0.000  0.500  0.252


The following is a PBE calculation of a geometry-optimized PmSm2Y7 structure, from Alexandria.

Properties
excess energy over the best structure of this formula in the dataset: 0 meV/atom
energy of formation from the pure elements: 19 meV per atom

a = 6.214 Å, b = 6.216 Å, c = 9.496 Å
α = 102.67°, β = 109.02°, γ = 99.60°
Space group P-1 (No. 2)
Symmetry-distinct sites (fractional):
Pm  0.000  0.000  0.000
Sm  0.200  0.001  0.400
Y  0.000  0.500  0.500
Y  0.200  0.500  0.900
Y  0.400  0.000  0.800
Y  0.400  0.500  0.300


The following is a PBE calculation of a geometry-optimized AlCuOs2 structure, from Alexandria.

Properties
energy of formation from the pure elements: 62 meV per atom

a = 2.973 Å, b = 4.239 Å, c = 8.599 Å
α = 90.00°, β = 90.00°, γ = 90.00°
Space group Imm2 (No. 44)
Symmetry-distinct sites (fractional):
Al  0.000  0.000  0.000
Cu  0.000  0.500  0.264
Os  0.000  0.000  0.502
Os  0.000  0.500  0.748


The following is a PBE calculation of a geometry-optimized PmPrSm3Dy structure, from Alexandria.

Properties
energy of formation from the pure elements: 174 meV per atom

a = 20.367 Å, b = 5.783 Å, c = 6.963 Å
α = 90.00°, β = 90.36°, γ = 90.00°
Space group C2/m (No. 12)
Symmetry-distinct sites (fractional):
Pm  0.056  0.000  0.260
Pr  0.146  0.500  0.023
Sm  0.019  0.500  0.744
Sm  0.163  0.000  0.737
Sm  0.220  0.000  0.248
Dy  0.148  0.500  0.466


The following is a PBE calculation of a geometry-optimized Ta5TiAl2 structure, from Alexandria.

Properties
energy of formation from the pure elements: 13 meV per atom

a = 2.845 Å, b = 9.488 Å, c = 10.613 Å
α = 90.00°, β = 90.00°, γ = 90.00°
Space group Immm (No. 71)
Symmetry-distinct sites (fractional):
Ta  0.000  0.000  0.000
Ta  0.000  0.263  0.372
Ti  0.000  0.500  0.000
Al  0.000  0.000  0.260


The following is a PBE calculation of a geometry-optimized NpVPt2 structure, from Alexandria.

Properties
energy of formation from the pure elements: -332 meV per atom

a = 4.072 Å, b = 4.072 Å, c = 4.154 Å
α = 90.00°, β = 90.00°, γ = 90.00°
Space group P4/mmm (No. 123)
Symmetry-distinct sites (fractional):
Np  0.000  0.000  0.000
V  0.500  0.500  0.000
Pt  0.000  0.500  0.500


The following is a PBE calculation of a geometry-optimized AcTmGa2Au5 structure, from Alexandria.

Properties
energy of formation from the pure elements: -505 meV per atom

a = 4.943 Å, b = 4.943 Å, c = 8.259 Å
α = 90.00°, β = 90.00°, γ = 90.00°
Space group P4/mmm (No. 123)
Symmetry-distinct sites (fractional):
Ac  0.000  0.000  0.000
Tm  0.000  0.000  0.500
Ga  0.500  0.500  0.345
Au  0.000  0.500  0.268
Au  0.500  0.500  0.000


The following is a PBE calculation of a geometry-optimized Tl5CrSe4 structure, from Alexandria.

Properties
formation energy from raw total energies: -0.360 eV/atom

a = 18.274 Å, b = 4.068 Å, c = 8.252 Å
α = 90.00°, β = 107.04°, γ = 90.00°
Space group C2/m (No. 12)
Symmetry-distinct sites (fractional):
Tl  0.000  0.000  0.000
Tl  0.160  0.500  0.288
Tl  0.188  0.500  0.824
Cr  0.000  0.000  0.500
Se  0.017  0.500  0.712
Se  0.146  0.000  0.538


The following is a PBE calculation of a geometry-optimized NdSm2Er3Sb6 structure, from Alexandria.

Properties
formation energy from raw total energies: -1.135 eV/atom

a = 19.262 Å, b = 4.423 Å, c = 8.837 Å
α = 90.00°, β = 103.15°, γ = 90.00°
Space group C2/m (No. 12)
Symmetry-distinct sites (fractional):
Nd  0.000  0.000  0.000
Sm  0.167  0.500  0.333
Er  0.000  0.000  0.500
Er  0.166  0.500  0.833
Sb  0.002  0.500  0.743
Sb  0.165  0.000  0.587
Sb  0.169  0.000  0.079


The following is a PBE calculation of a geometry-optimized AcCuGe2 structure, from Alexandria.

Properties
excess energy over the best structure of this formula in the dataset: 393 meV/atom
energy of formation from the pure elements: -136 meV per atom

a = 5.4247 Å, b = 5.4247 Å, c = 11.1505 Å
α = 90.00°, β = 90.00°, γ = 120.00°
Space group R-3m (No. 166, hexagonal axes)
Symmetry-distinct sites (fractional):
Ac  0.0000  0.0000  0.0000
Cu  0.0000  0.0000  0.5000
Ge  0.0000  0.0000  0.2822


The following is a PBE calculation of a geometry-optimized BeCuPO2 structure, from Alexandria.

Properties
formation energy from raw total energies: 0.440 eV/atom
excess energy over the best structure of this formula in the dataset: 658 meV/atom

a = 3.591 Å, b = 3.591 Å, c = 4.945 Å
α = 90.00°, β = 90.00°, γ = 90.00°
Space group P4/mmm (No. 123)
Symmetry-distinct sites (fractional):
Be  0.000  0.000  0.000
Cu  0.500  0.500  0.500
P  0.500  0.500  0.000
O  0.000  0.500  0.500


The following is a PBE calculation of a geometry-optimized Ac2La9Tm structure, from Alexandria.

Properties
energy of formation from the pure elements: 16 meV per atom

a = 5.307 Å, b = 5.307 Å, c = 15.890 Å
α = 90.00°, β = 90.00°, γ = 90.00°
Space group P4/mmm (No. 123)
Symmetry-distinct sites (fractional):
Ac  0.000  0.000  0.170
La  0.000  0.500  0.000
La  0.000  0.500  0.340
La  0.500  0.500  0.171
La  0.500  0.500  0.500
Tm  0.000  0.000  0.500


The following is a PBE calculation of a geometry-optimized La3PrHo7 structure, from Alexandria.

Properties
excess energy over the best structure of this formula in the dataset: 59 meV/atom
energy of formation from the pure elements: 176 meV per atom

a = 7.1018 Å, b = 7.1018 Å, c = 8.8172 Å
α = 90.00°, β = 90.00°, γ = 120.00°
Space group P3m1 (No. 156)
Symmetry-distinct sites (fractional):
La  0.0012  0.5006  0.0000
Pr  0.6667  0.3333  0.6590
Ho  0.1674  0.3348  0.6577
Ho  0.3333  0.6667  0.3401
Ho  0.3335  0.1668  0.3378


Here are the calculated E numbers, same order: -46.986 -61.650 -87.753 -135.228 -29.611 -13.607 -45.685 -100.219 -23.819 -62.112 -48.664 -82.256 -59.251 -60.096 -108.976 -149.079 -35.469 -35.569 -77.976 -132.489 -53.945 -20.946 -56.844 -49.670 (eV/cell).